No. 1
A plane-wave DFT calculation with PBE-GGA was carried out for a relaxed ReNiRh crystal.

Output
- N(E_F) (states/eV per atom) = 0.687
- E_tot (eV/atom) = -8.60
- energy of formation from the pure elements (kJ/mol of formula units) = -21
- distance to the lowest polymorph of the same formula (eV/f.u.) = 0.132
- SG = Pnma, No. 62

Cell and atoms, written as CIF:
```
data_ReNiRh
_chemical_formula_sum 'Re4 Ni4 Rh4'
_cell_length_a 2.6856
_cell_length_b 7.5529
_cell_length_c 7.9074
_cell_angle_alpha 90.00
_cell_angle_beta 90.00
_cell_angle_gamma 90.00
_symmetry_space_group_name_H-M 'P 1'
_symmetry_Int_Tables_number 1
_symmetry_space_group_name_Hall 'P 1'
loop_
_atom_site_label
_atom_site_type_symbol
_atom_site_fract_x
_atom_site_fract_y
_atom_site_fract_z
_atom_site_occupancy
Re1 Re 0.7500 0.3773 0.2512 1
Re2 Re 0.2500 0.1227 0.7512 1
Re3 Re 0.2500 0.6227 0.7488 1
Re4 Re 0.7500 0.8773 0.2488 1
Ni1 Ni 0.7500 0.3841 0.9148 1
Ni2 Ni 0.2500 0.1159 0.4148 1
Ni3 Ni 0.2500 0.6159 0.0852 1
Ni4 Ni 0.7500 0.8841 0.5852 1
Rh1 Rh 0.7500 0.3651 0.5837 1
Rh2 Rh 0.2500 0.1349 0.0837 1
Rh3 Rh 0.2500 0.6349 0.4163 1
Rh4 Rh 0.7500 0.8651 0.9163 1
```

***

No. 2
A plane-wave DFT calculation with PBE-GGA was carried out for a relaxed ReNi2Rh crystal.

Output
- N(E_F) (states/eV per atom) = 0.857
- E_tot (eV/atom) = -7.87
- energy of formation from the pure elements (kJ/mol of formula units) = -12
- distance to the lowest polymorph of the same formula (eV/f.u.) = 0.027
- SG = Pmm2, No. 25

Cell and atoms, written as CIF:
```
data_ReNi2Rh
_chemical_formula_sum 'Re1 Ni2 Rh1'
_cell_length_a 3.7208
_cell_length_b 2.6692
_cell_length_c 5.8040
_cell_angle_alpha 62.67
_cell_angle_beta 90.00
_cell_angle_gamma 90.00
_symmetry_space_group_name_H-M 'P 1'
_symmetry_Int_Tables_number 1
_symmetry_space_group_name_Hall 'P 1'
loop_
_atom_site_label
_atom_site_type_symbol
_atom_site_fract_x
_atom_site_fract_y
_atom_site_fract_z
_atom_site_occupancy
Re1 Re 0.0000 0.5082 0.4915 1
Rh1 Rh 0.5000 0.7526 0.7489 1
Ni1 Ni 0.0000 0.9849 0.0149 1
Ni2 Ni 0.5000 0.2543 0.2447 1
```

***

No. 3
A plane-wave DFT calculation with PBE-GGA was carried out for a relaxed ReNi2Rh crystal.

Output
- N(E_F) (states/eV per atom) = 1.094
- E_tot (eV/atom) = -7.82
- energy of formation from the pure elements (kJ/mol of formula units) = 9
- distance to the lowest polymorph of the same formula (eV/f.u.) = 0.239
- SG = Pmmm, No. 47

Cell and atoms, written as CIF:
```
data_ReNi2Rh
_chemical_formula_sum 'Re1 Ni2 Rh1'
_cell_length_a 3.7039
_cell_length_b 2.6501
_cell_length_c 5.8410
_cell_angle_alpha 63.06
_cell_angle_beta 90.00
_cell_angle_gamma 90.00
_symmetry_space_group_name_H-M 'P 1'
_symmetry_Int_Tables_number 1
_symmetry_space_group_name_Hall 'P 1'
loop_
_atom_site_label
_atom_site_type_symbol
_atom_site_fract_x
_atom_site_fract_y
_atom_site_fract_z
_atom_site_occupancy
Ni1 Ni 0.0000 0.9894 0.0102 1
Ni2 Ni 0.0000 0.5106 0.4898 1
Re1 Re 0.5000 0.2500 0.2500 1
Rh1 Rh 0.5000 0.7500 0.7500 1
```

***

No. 4
A plane-wave DFT calculation with PBE-GGA was carried out for a relaxed ReNi2Rh crystal.

Output
- N(E_F) (states/eV per atom) = 1.783
- E_tot (eV/atom) = -7.72
- energy of formation from the pure elements (kJ/mol of formula units) = 46
- distance to the lowest polymorph of the same formula (eV/f.u.) = 0.622
- SG = P4/mmm, No. 123

Cell and atoms, written as CIF:
```
data_ReNi2Rh
_chemical_formula_sum 'Re1 Ni2 Rh1'
_cell_length_a 3.6255
_cell_length_b 3.7489
_cell_length_c 3.7489
_cell_angle_alpha 90.00
_cell_angle_beta 90.00
_cell_angle_gamma 90.00
_symmetry_space_group_name_H-M 'P 1'
_symmetry_Int_Tables_number 1
_symmetry_space_group_name_Hall 'P 1'
loop_
_atom_site_label
_atom_site_type_symbol
_atom_site_fract_x
_atom_site_fract_y
_atom_site_fract_z
_atom_site_occupancy
Ni1 Ni 0.0000 0.0000 0.0000 1
Ni2 Ni 0.0000 0.5000 0.5000 1
Re1 Re 0.5000 0.5000 0.0000 1
Rh1 Rh 0.5000 0.0000 0.5000 1
```

***

No. 5
A plane-wave DFT calculation with PBE-GGA was carried out for a relaxed Re2Ni3Rh4 crystal.

Output
- N(E_F) (states/eV per atom) = 1.280
- E_tot (eV/atom) = -7.86
- energy of formation from the pure elements (kJ/mol of formula units) = 85
- SG = C2/c, No. 15

Cell and atoms, written as CIF:
```
data_Re2Ni3Rh4
_chemical_formula_sum 'Re4 Ni6 Rh8'
_cell_length_a 7.5353
_cell_length_b 7.5353
_cell_length_c 4.6128
_cell_angle_alpha 81.67
_cell_angle_beta 81.67
_cell_angle_gamma 72.13
_symmetry_space_group_name_H-M 'P 1'
_symmetry_Int_Tables_number 1
_symmetry_space_group_name_Hall 'P 1'
loop_
_atom_site_label
_atom_site_type_symbol
_atom_site_fract_x
_atom_site_fract_y
_atom_site_fract_z
_atom_site_occupancy
Re1 Re 0.5242 0.2666 0.2926 1
Re2 Re 0.7334 0.4758 0.2074 1
Re3 Re 0.4758 0.7334 0.7074 1
Re4 Re 0.2666 0.5242 0.7926 1
Ni1 Ni 0.1798 0.9356 0.9666 1
Ni2 Ni 0.0644 0.8202 0.5334 1
Ni3 Ni 0.8202 0.0644 0.0334 1
Ni4 Ni 0.9356 0.1798 0.4666 1
Ni5 Ni 0.3674 0.6326 0.2500 1
Ni6 Ni 0.6326 0.3674 0.7500 1
Rh1 Rh 0.2889 0.0154 0.4119 1
Rh2 Rh 0.9846 0.7111 0.0881 1
Rh3 Rh 0.7111 0.9846 0.5881 1
Rh4 Rh 0.0154 0.2889 0.9119 1
Rh5 Rh 0.3904 0.1660 0.8606 1
Rh6 Rh 0.8340 0.6096 0.6394 1
Rh7 Rh 0.6096 0.8340 0.1394 1
Rh8 Rh 0.1660 0.3904 0.3606 1
```

***

No. 6
A plane-wave DFT calculation with PBE-GGA was carried out for a relaxed ReNiRh2 crystal.

Output
- N(E_F) (states/eV per atom) = 2.731
- E_tot (eV/atom) = -8.04
- energy of formation from the pure elements (kJ/mol of formula units) = 75
- distance to the lowest polymorph of the same formula (eV/f.u.) = 1.068
- SG = Fm-3m, No. 225

Cell and atoms, written as CIF:
```
data_ReNiRh2
_chemical_formula_sum 'Re1 Ni1 Rh2'
_cell_length_a 4.2805
_cell_length_b 4.2805
_cell_length_c 4.2805
_cell_angle_alpha 60.00
_cell_angle_beta 60.00
_cell_angle_gamma 60.00
_symmetry_space_group_name_H-M 'P 1'
_symmetry_Int_Tables_number 1
_symmetry_space_group_name_Hall 'P 1'
loop_
_atom_site_label
_atom_site_type_symbol
_atom_site_fract_x
_atom_site_fract_y
_atom_site_fract_z
_atom_site_occupancy
Re1 Re 0.5000 0.5000 0.5000 1
Rh1 Rh 0.2500 0.2500 0.2500 1
Rh2 Rh 0.7500 0.7500 0.7500 1
Ni1 Ni 0.0000 0.0000 0.0000 1
```

***

No. 7
A plane-wave DFT calculation with PBE-GGA was carried out for a relaxed Re2Ni4Rh crystal.

Output
- N(E_F) (states/eV per atom) = 1.595
- E_tot (eV/atom) = -6.52
- energy of formation from the pure elements (kJ/mol of formula units) = 939
- SG = I4/mmm, No. 139

Cell and atoms, written as CIF:
```
data_Re2Ni4Rh
_chemical_formula_sum 'Re2 Ni4 Rh1'
_cell_length_a 4.4904
_cell_length_b 4.4904
_cell_length_c 6.7097
_cell_angle_alpha 70.45
_cell_angle_beta 70.45
_cell_angle_gamma 90.00
_symmetry_space_group_name_H-M 'P 1'
_symmetry_Int_Tables_number 1
_symmetry_space_group_name_Hall 'P 1'
loop_
_atom_site_label
_atom_site_type_symbol
_atom_site_fract_x
_atom_site_fract_y
_atom_site_fract_z
_atom_site_occupancy
Re1 Re 0.6013 0.6013 0.7973 1
Re2 Re 0.3987 0.3987 0.2027 1
Rh1 Rh 0.0000 0.0000 0.0000 1
Ni1 Ni 0.7949 0.7949 0.4102 1
Ni2 Ni 0.2051 0.2051 0.5898 1
Ni3 Ni 0.0000 0.5000 0.0000 1
Ni4 Ni 0.5000 0.0000 0.0000 1
```

***

No. 8
A plane-wave DFT calculation with PBE-GGA was carried out for a relaxed ReNi2Rh crystal.

Output
- N(E_F) (states/eV per atom) = 1.284
- E_tot (eV/atom) = -7.84
- energy of formation from the pure elements (kJ/mol of formula units) = -1
- distance to the lowest polymorph of the same formula (eV/f.u.) = 0.142
- SG = C2/m, No. 12

Cell and atoms, written as CIF:
```
data_ReNi2Rh
_chemical_formula_sum 'Re2 Ni4 Rh2'
_cell_length_a 2.6511
_cell_length_b 5.7670
_cell_length_c 7.0226
_cell_angle_alpha 89.70
_cell_angle_beta 79.12
_cell_angle_gamma 76.71
_symmetry_space_group_name_H-M 'P 1'
_symmetry_Int_Tables_number 1
_symmetry_space_group_name_Hall 'P 1'
loop_
_atom_site_label
_atom_site_type_symbol
_atom_site_fract_x
_atom_site_fract_y
_atom_site_fract_z
_atom_site_occupancy
Re1 Re 0.1238 0.9366 0.8158 1
Re2 Re 0.8762 0.0634 0.1841 1
Ni1 Ni 0.6281 0.6859 0.0579 1
Ni2 Ni 0.3719 0.3142 0.9420 1
Ni3 Ni 0.8683 0.5620 0.7013 1
Ni4 Ni 0.1317 0.4380 0.2986 1
Rh1 Rh 0.3829 0.7993 0.4348 1
Rh2 Rh 0.6171 0.2008 0.5651 1
```

***

No. 9
A plane-wave DFT calculation with PBE-GGA was carried out for a relaxed ReNi4Rh crystal.

Output
- N(E_F) (states/eV per atom) = 1.219
- E_tot (eV/atom) = -7.18
- energy of formation from the pure elements (kJ/mol of formula units) = -13
- distance to the lowest polymorph of the same formula (eV/f.u.) = 0.000
- SG = Cmc2_1, No. 36

Cell and atoms, written as CIF:
```
data_ReNi4Rh
_chemical_formula_sum 'Re2 Ni8 Rh2'
_cell_length_a 3.6337
_cell_length_b 5.6957
_cell_length_c 7.4171
_cell_angle_alpha 90.00
_cell_angle_beta 90.00
_cell_angle_gamma 108.60
_symmetry_space_group_name_H-M 'P 1'
_symmetry_Int_Tables_number 1
_symmetry_space_group_name_Hall 'P 1'
loop_
_atom_site_label
_atom_site_type_symbol
_atom_site_fract_x
_atom_site_fract_y
_atom_site_fract_z
_atom_site_occupancy
Re1 Re 0.3324 0.6648 0.3015 1
Re2 Re 0.6676 0.3352 0.8015 1
Ni1 Ni 0.0019 0.0039 0.7983 1
Ni2 Ni 0.9981 0.9961 0.2983 1
Ni3 Ni 0.4949 0.9897 0.0558 1
Ni4 Ni 0.5051 0.0103 0.5558 1
Ni5 Ni 0.1637 0.3273 0.5541 1
Ni6 Ni 0.8363 0.6727 0.0541 1
Ni7 Ni 0.3338 0.6675 0.8067 1
Ni8 Ni 0.6662 0.3325 0.3067 1
Rh1 Rh 0.1657 0.3315 0.0503 1
Rh2 Rh 0.8343 0.6685 0.5503 1
```

***

No. 10
A plane-wave DFT calculation with PBE-GGA was carried out for a relaxed ReNi2Rh crystal.

Output
- N(E_F) (states/eV per atom) = 1.413
- E_tot (eV/atom) = -7.80
- energy of formation from the pure elements (kJ/mol of formula units) = 16
- distance to the lowest polymorph of the same formula (eV/f.u.) = 0.320
- SG = C2/m, No. 12

Cell and atoms, written as CIF:
```
data_ReNi2Rh
_chemical_formula_sum 'Re1 Ni2 Rh1'
_cell_length_a 4.4948
_cell_length_b 4.4948
_cell_length_c 4.5770
_cell_angle_alpha 80.12
_cell_angle_beta 80.12
_cell_angle_gamma 34.64
_symmetry_space_group_name_H-M 'P 1'
_symmetry_Int_Tables_number 1
_symmetry_space_group_name_Hall 'P 1'
loop_
_atom_site_label
_atom_site_type_symbol
_atom_site_fract_x
_atom_site_fract_y
_atom_site_fract_z
_atom_site_occupancy
Ni1 Ni 0.0015 0.0015 0.9864 1
Ni2 Ni 0.4985 0.4985 0.5136 1
Re1 Re 0.7500 0.7500 0.7500 1
Rh1 Rh 0.2500 0.2500 0.2500 1
```

***

No. 11
A plane-wave DFT calculation with PBE-GGA was carried out for a relaxed ReNi2Rh crystal.

Output
- N(E_F) (states/eV per atom) = 1.282
- E_tot (eV/atom) = -7.77
- energy of formation from the pure elements (kJ/mol of formula units) = 26
- distance to the lowest polymorph of the same formula (eV/f.u.) = 0.417
- SG = Cmmm, No. 65

Cell and atoms, written as CIF:
```
data_ReNi2Rh
_chemical_formula_sum 'Re1 Ni2 Rh1'
_cell_length_a 4.5324
_cell_length_b 4.5324
_cell_length_c 2.6370
_cell_angle_alpha 90.00
_cell_angle_beta 90.00
_cell_angle_gamma 109.50
_symmetry_space_group_name_H-M 'P 1'
_symmetry_Int_Tables_number 1
_symmetry_space_group_name_Hall 'P 1'
loop_
_atom_site_label
_atom_site_type_symbol
_atom_site_fract_x
_atom_site_fract_y
_atom_site_fract_z
_atom_site_occupancy
Ni1 Ni 0.0000 0.0000 0.0000 1
Ni2 Ni 0.5000 0.5000 0.0000 1
Re1 Re 0.5000 0.0000 0.5000 1
Rh1 Rh 0.0000 0.5000 0.5000 1
```

***

No. 12
A plane-wave DFT calculation with PBE-GGA was carried out for a relaxed Re2Ni3Rh2 crystal.

Output
- N(E_F) (states/eV per atom) = 1.340
- E_tot (eV/atom) = -8.11
- energy of formation from the pure elements (kJ/mol of formula units) = 15
- SG = C2/m, No. 12

Cell and atoms, written as CIF:
```
data_Re2Ni3Rh2
_chemical_formula_sum 'Re2 Ni3 Rh2'
_cell_length_a 2.6537
_cell_length_b 6.2677
_cell_length_c 10.6824
_cell_angle_alpha 146.06
_cell_angle_beta 90.00
_cell_angle_gamma 102.22
_symmetry_space_group_name_H-M 'P 1'
_symmetry_Int_Tables_number 1
_symmetry_space_group_name_Hall 'P 1'
loop_
_atom_site_label
_atom_site_type_symbol
_atom_site_fract_x
_atom_site_fract_y
_atom_site_fract_z
_atom_site_occupancy
Re1 Re 0.4166 0.8333 0.2139 1
Re2 Re 0.5834 0.1667 0.7861 1
Ni1 Ni 0.0000 0.0000 0.5000 1
Ni2 Ni 0.6477 0.2953 0.0790 1
Ni3 Ni 0.3523 0.7047 0.9210 1
Rh1 Rh 0.1908 0.3816 0.3336 1
Rh2 Rh 0.8092 0.6184 0.6664 1
```

***

No. 13
A plane-wave DFT calculation with PBE-GGA was carried out for a relaxed ReNiRh4 crystal.

Output
- N(E_F) (states/eV per atom) = 1.283
- E_tot (eV/atom) = -7.78
- energy of formation from the pure elements (kJ/mol of formula units) = 93
- distance to the lowest polymorph of the same formula (eV/f.u.) = 1.163
- SG = C2/c, No. 15

Cell and atoms, written as CIF:
```
data_ReNiRh4
_chemical_formula_sum 'Re2 Ni2 Rh8'
_cell_length_a 5.1868
_cell_length_b 5.1868
_cell_length_c 7.7784
_cell_angle_alpha 100.28
_cell_angle_beta 100.28
_cell_angle_gamma 117.94
_symmetry_space_group_name_H-M 'P 1'
_symmetry_Int_Tables_number 1
_symmetry_space_group_name_Hall 'P 1'
loop_
_atom_site_label
_atom_site_type_symbol
_atom_site_fract_x
_atom_site_fract_y
_atom_site_fract_z
_atom_site_occupancy
Re1 Re 0.8751 0.1250 0.2500 1
Re2 Re 0.1249 0.8750 0.7500 1
Ni1 Ni 0.3748 0.6251 0.2500 1
Ni2 Ni 0.6252 0.3749 0.7500 1
Rh1 Rh 0.2220 0.9786 0.4411 1
Rh2 Rh 0.0214 0.7780 0.0590 1
Rh3 Rh 0.2824 0.5388 0.5592 1
Rh4 Rh 0.4612 0.7176 0.9408 1
Rh5 Rh 0.7780 0.0214 0.5589 1
Rh6 Rh 0.7176 0.4612 0.4408 1
Rh7 Rh 0.9786 0.2220 0.9410 1
Rh8 Rh 0.5388 0.2824 0.0592 1
```

***

Calculated total magnetic moment in order - 0.0 0.0 0.0 0.0 0.0 0.0 3.3 0.0 0.0 0.0 0.0 0.0 0.0 Bohr magnetons per cell